Arrangement 1

# LaSbSeN2 | the Alexandria database | PBE | relaxed
# Crystal system ... tetragonal
# Calculated volume ... 94 Å³ per cell
data_LaSbSeN2
_chemical_formula_sum 'La1 Sb1 Se1 N2'
_symmetry_space_group_name_H-M 'P 1'
_symmetry_Int_Tables_number 1
_cell_length_a 4.2285
_cell_length_b 4.2285
_cell_length_c 5.2393
_cell_angle_alpha 90.00
_cell_angle_beta 90.00
_cell_angle_gamma 90.00
loop_
_symmetry_equiv_pos_as_xyz
'x,y,z'
loop_
_atom_site_label
_atom_site_type_symbol
_atom_site_fract_x
_atom_site_fract_y
_atom_site_fract_z
La1 La 0.0000 0.0000 0.0000
Sb1 Sb 0.5000 0.5000 0.5000
Se1 Se 0.5000 0.5000 0.0000
N1 N 0.0000 0.5000 0.5000
N2 N 0.5000 0.0000 0.5000

=====

Arrangement 2

# LaSbSeN2 | the Alexandria database | PBE | relaxed
# Crystal system ... tetragonal
# Calculated volume ... 115 Å³ per cell
data_LaSbSeN2
_chemical_formula_sum 'La1 Sb1 Se1 N2'
_symmetry_space_group_name_H-M 'P 1'
_symmetry_Int_Tables_number 1
_cell_length_a 4.3349
_cell_length_b 4.3349
_cell_length_c 6.1104
_cell_angle_alpha 90.00
_cell_angle_beta 90.00
_cell_angle_gamma 90.00
loop_
_symmetry_equiv_pos_as_xyz
'x,y,z'
loop_
_atom_site_label
_atom_site_type_symbol
_atom_site_fract_x
_atom_site_fract_y
_atom_site_fract_z
La1 La 0.0000 0.0000 0.0000
Sb1 Sb 0.5000 0.5000 0.5000
Se1 Se 0.0000 0.0000 0.5000
N1 N 0.0000 0.5000 0.0000
N2 N 0.5000 0.0000 0.0000

=====

Which of them is most stable, and which least? Most stable: arrangement 1; least stable: arrangement 2.

=====

Arrangement 1

# LaSbTeN2 | the Alexandria database | PBE | relaxed
# Crystal system ... tetragonal
# Calculated volume ... 129 Å³ per cell
data_LaSbTeN2
_chemical_formula_sum 'La1 Sb1 Te1 N2'
_symmetry_space_group_name_H-M 'P 1'
_symmetry_Int_Tables_number 1
_cell_length_a 4.3843
_cell_length_b 4.3843
_cell_length_c 6.7150
_cell_angle_alpha 90.00
_cell_angle_beta 90.00
_cell_angle_gamma 90.00
loop_
_symmetry_equiv_pos_as_xyz
'x,y,z'
loop_
_atom_site_label
_atom_site_type_symbol
_atom_site_fract_x
_atom_site_fract_y
_atom_site_fract_z
La1 La 0.0000 0.0000 0.0000
Sb1 Sb 0.5000 0.5000 0.5000
Te1 Te 0.0000 0.0000 0.5000
N1 N 0.0000 0.5000 0.0000
N2 N 0.5000 0.0000 0.0000

=====

Arrangement 2

# LaSbTeN2 | the Alexandria database | PBE | relaxed
# Crystal system ... tetragonal
# Calculated volume ... 107 Å³ per cell
data_LaSbTeN2
_chemical_formula_sum 'La1 Sb1 Te1 N2'
_symmetry_space_group_name_H-M 'P 1'
_symmetry_Int_Tables_number 1
_cell_length_a 4.3510
_cell_length_b 4.3510
_cell_length_c 5.6713
_cell_angle_alpha 90.00
_cell_angle_beta 90.00
_cell_angle_gamma 90.00
loop_
_symmetry_equiv_pos_as_xyz
'x,y,z'
loop_
_atom_site_label
_atom_site_type_symbol
_atom_site_fract_x
_atom_site_fract_y
_atom_site_fract_z
La1 La 0.0000 0.0000 0.0000
Sb1 Sb 0.5000 0.5000 0.5000
Te1 Te 0.5000 0.5000 0.0000
N1 N 0.0000 0.5000 0.5000
N2 N 0.5000 0.0000 0.5000

=====

Which of them is most stable, and which least? Most stable: arrangement 2; least stable: arrangement 1.